(1)
The following is a GGA-PBE calculation of a geometry-optimized AlCoPb2 structure, from the Alexandria database.

Cell: 3.1984 3.1984 8.5534 Å, 90.00 90.00 89.99°
Each line ends with the local moment (μB).
Sites, in units of the cell vectors:
Pb 0.0000 0.0000 0.9246  -0.01
Pb 0.5000 0.5000 0.3085  -0.01
Co 0.5000 0.5000 0.6898  0.78
Al 0.0000 0.0000 0.5771  -0.01

N(E_F) = 1.699 states/eV per cell
energy relative to the elements = 0.08 eV/atom
offset from the most stable computed form = 0.00 eV/f.u.
total energy = -4.4907 eV per atom
M_tot = 0.70 μB per formula unit



(2)
The following is a GGA-PBE calculation of a geometry-optimized AlCoPb4 structure, from the Alexandria database.

Cell: 6.3473 6.3473 6.3473 Å, 60.00 60.00 60.00°
Each line ends with the local moment (μB).
Sites, in units of the cell vectors:
Co 0.0000 0.0000 0.0000  2.00
Pb 0.3747 0.3747 0.3747  -0.01
Pb 0.8760 0.3747 0.3747  -0.01
Pb 0.3747 0.3747 0.8760  -0.01
Pb 0.3747 0.8760 0.3747  -0.01
Al 0.7500 0.7500 0.7500  0.00

N(E_F) = 5.452 states/eV per cell
energy relative to the elements = 0.82 eV/atom
total energy = -3.4577 eV per atom
M_tot = 1.93 μB per formula unit



(3)
The following is a GGA-PBE calculation of a geometry-optimized AlCoPb2 structure, from the Alexandria database.

Cell: 3.5349 3.5349 8.4072 Å, 78.18 78.18 59.80°
Each line ends with the local moment (μB).
Sites, in units of the cell vectors:
Co 0.2500 0.2500 0.2500  0.72
Al 0.7500 0.7500 0.7500  0.00
Pb 0.5121 0.5121 0.4661  -0.02
Pb 0.9879 0.9879 0.0339  -0.02

N(E_F) = 3.972 states/eV per cell
energy relative to the elements = 0.44 eV/atom
offset from the most stable computed form = 1.47 eV/f.u.
total energy = -4.1227 eV per atom
M_tot = 0.64 μB per formula unit



(4)
The following is a GGA-PBE calculation of a geometry-optimized AlCoPb structure, from the Alexandria database.

Cell: 4.2843 4.2843 4.2843 Å, 60.00 60.00 60.00°
Sites, in units of the cell vectors:
Pb 0.0000 0.0000 0.0000
Al 0.5000 0.5000 0.5000
Co 0.7500 0.7500 0.7500

N(E_F) = 2.458 states/eV per cell
energy relative to the elements = 0.12 eV/atom
offset from the most stable computed form = 0.00 eV/f.u.
total energy = -4.7300 eV per atom
M_tot = 0.00 μB per formula unit



(5)
The following is a GGA-PBE calculation of a geometry-optimized AlCo2Pb2 structure, from the Alexandria database.

Cell: 3.4152 3.4152 9.0486 Å, 79.12 79.12 90.00°
Each line ends with the local moment (μB).
Sites, in units of the cell vectors:
Pb 0.6196 0.6196 0.7608  -0.02
Pb 0.3804 0.3804 0.2392  -0.02
Co 0.7500 0.2500 0.5000  1.63
Co 0.2500 0.7500 0.5000  1.63
Al 0.0000 0.0000 0.0000  0.01

N(E_F) = 5.269 states/eV per cell
energy relative to the elements = 0.44 eV/atom
offset from the most stable computed form = 0.60 eV/f.u.
total energy = -4.6388 eV per atom
M_tot = 3.21 μB per formula unit



(6)
The following is a GGA-PBE calculation of a geometry-optimized AlCo2Pb2 structure, from the Alexandria database.

Cell: 6.6191 6.6191 4.0985 Å, 90.00 90.00 90.00°
Each line ends with the local moment (μB).
Sites, in units of the cell vectors:
Pb 0.6688 0.8312 0.5000  0.00
Pb 0.3312 0.1688 0.5000  0.00
Pb 0.1688 0.6688 0.5000  0.00
Pb 0.8312 0.3312 0.5000  0.00
Co 0.8596 0.6404 0.0000  0.64
Co 0.6404 0.1404 0.0000  0.60
Co 0.1404 0.3596 0.0000  0.63
Co 0.3596 0.8596 0.0000  0.59
Al 0.5000 0.5000 0.0000  -0.02
Al 0.0000 0.0000 0.0000  -0.02

N(E_F) = 8.191 states/eV per cell
energy relative to the elements = 0.32 eV/atom
offset from the most stable computed form = 0.00 eV/f.u.
total energy = -4.7588 eV per atom
M_tot = 1.13 μB per formula unit



Q: Look up the total energy of the second one.
A: -3.4577 eV per atom



Q: The highest M_tot belongs to which entry?
A: number 5



Q: Number 4 is which compound?
A: AlCoPb



Copy entry 6 word for word.
The following is a GGA-PBE calculation of a geometry-optimized AlCo2Pb2 structure, from the Alexandria database.

Cell: 6.6191 6.6191 4.0985 Å, 90.00 90.00 90.00°
Each line ends with the local moment (μB).
Sites, in units of the cell vectors:
Pb 0.6688 0.8312 0.5000  0.00
Pb 0.3312 0.1688 0.5000  0.00
Pb 0.1688 0.6688 0.5000  0.00
Pb 0.8312 0.3312 0.5000  0.00
Co 0.8596 0.6404 0.0000  0.64
Co 0.6404 0.1404 0.0000  0.60
Co 0.1404 0.3596 0.0000  0.63
Co 0.3596 0.8596 0.0000  0.59
Al 0.5000 0.5000 0.0000  -0.02
Al 0.0000 0.0000 0.0000  -0.02

N(E_F) = 8.191 states/eV per cell
energy relative to the elements = 0.32 eV/atom
offset from the most stable computed form = 0.00 eV/f.u.
total energy = -4.7588 eV per atom
M_tot = 1.13 μB per formula unit